Entry 1:
The following is a DFT calculation (PBE-GGA) of a relaxed structure of BiOs2Br2.

Its raw total energy is -44.0 eV for the cell shown. As for the total magnetization: 0.0 μB per formula unit. The value obtained for the raw formation energy is 741.6 kJ/mol of formula units. As for the crystal system: tetragonal. The calculation puts the energy relative to the lowest polymorph listed for this composition at 0.60 eV/f.u.

Cell and atoms, written as CIF:
```
data_BiOs2Br2
_cell_length_a 8.3026
_cell_length_b 8.3026
_cell_length_c 3.0382
_cell_angle_alpha 90.00
_cell_angle_beta 90.00
_cell_angle_gamma 90.00
_symmetry_space_group_name_H-M 'P 4/m b m'
_symmetry_Int_Tables_number 127
_symmetry_space_group_name_Hall '-P 4 2ab'
loop_
_atom_site_label
_atom_site_fract_x
_atom_site_fract_y
_atom_site_fract_z
Bi1 0.0000 0.0000 0.0000
Os1 0.2080 0.2920 0.5000
Br1 0.1283 0.6283 0.0000
```


Entry 2:
The following is a DFT calculation (PBE-GGA) of a relaxed structure of Bi2OsBr.

Its raw total energy is -73.9 eV for the cell shown. As for the total magnetization: 0.0 μB per formula unit. The value obtained for the raw formation energy is 210.3 kJ/mol of formula units. As for the crystal system: tetragonal. The calculation puts the energy relative to the lowest polymorph listed for this composition at 0.00 eV/f.u.

Cell and atoms, written as CIF:
```
data_Bi2OsBr
_cell_length_a 6.7052
_cell_length_b 6.7052
_cell_length_c 13.1650
_cell_angle_alpha 90.00
_cell_angle_beta 90.00
_cell_angle_gamma 90.00
_symmetry_space_group_name_H-M 'I -4 2 d'
_symmetry_Int_Tables_number 122
_symmetry_space_group_name_Hall 'I -4 2bw'
loop_
_atom_site_label
_atom_site_fract_x
_atom_site_fract_y
_atom_site_fract_z
Bi1 0.1638 0.2500 0.1250
Os1 0.0000 0.0000 0.0000
Br1 0.0000 0.0000 0.5000
```


Entry 3:
The following is a DFT calculation (PBE-GGA) of a relaxed structure of BiOs2Br2.

Its raw total energy is -45.2 eV for the cell shown. As for the total magnetization: 0.0 μB per formula unit. The value obtained for the raw formation energy is 684.1 kJ/mol of formula units. As for the crystal system: tetragonal. The calculation puts the energy relative to the lowest polymorph listed for this composition at 0.00 eV/f.u.

Cell and atoms, written as CIF:
```
data_BiOs2Br2
_cell_length_a 4.2886
_cell_length_b 4.2886
_cell_length_c 11.4199
_cell_angle_alpha 90.00
_cell_angle_beta 90.00
_cell_angle_gamma 90.00
_symmetry_space_group_name_H-M 'I 4/m m m'
_symmetry_Int_Tables_number 139
_symmetry_space_group_name_Hall '-I 4 2'
loop_
_atom_site_label
_atom_site_fract_x
_atom_site_fract_y
_atom_site_fract_z
Bi1 0.0000 0.0000 0.0000
Os1 0.0000 0.5000 0.2500
Br1 0.0000 0.0000 0.3663
```


Entry 4:
The following is a DFT calculation (PBE-GGA) of a relaxed structure of Bi2OsBr.

Its raw total energy is -69.2 eV for the cell shown. As for the total magnetization: 0.8 μB per formula unit. The value obtained for the raw formation energy is 325.6 kJ/mol of formula units. As for the crystal system: cubic. The calculation puts the energy relative to the lowest polymorph listed for this composition at 1.20 eV/f.u.

Cell and atoms, written as CIF:
```
data_Bi2OsBr
_cell_length_a 7.2119
_cell_length_b 7.2119
_cell_length_c 7.2119
_cell_angle_alpha 90.00
_cell_angle_beta 90.00
_cell_angle_gamma 90.00
_symmetry_space_group_name_H-M 'F m -3 m'
_symmetry_Int_Tables_number 225
_symmetry_space_group_name_Hall '-F 4 2 3'
loop_
_atom_site_label
_atom_site_fract_x
_atom_site_fract_y
_atom_site_fract_z
Bi1 0.2500 0.2500 0.2500
Os1 0.0000 0.0000 0.0000
Br1 0.0000 0.0000 0.5000
```


Entry 5:
The following is a DFT calculation (PBE-GGA) of a relaxed structure of BiP2OsBr.

Its raw total energy is -17.2 eV for the cell shown. As for the total magnetization: 4.0 μB per formula unit. The value obtained for the raw formation energy is 1007.0 kJ/mol of formula units. As for the crystal system: tetragonal.

Cell and atoms, written as CIF:
```
data_BiP2OsBr
_cell_length_a 5.2800
_cell_length_b 5.2800
_cell_length_c 5.4637
_cell_angle_alpha 90.00
_cell_angle_beta 90.00
_cell_angle_gamma 90.00
_symmetry_space_group_name_H-M 'P 4/m m m'
_symmetry_Int_Tables_number 123
_symmetry_space_group_name_Hall '-P 4 2'
loop_
_atom_site_label
_atom_site_fract_x
_atom_site_fract_y
_atom_site_fract_z
Bi1 0.0000 0.0000 0.0000
P1 0.0000 0.5000 0.0000
Os1 0.5000 0.5000 0.5000
Br1 0.0000 0.0000 0.5000
```


Entry 6:
The following is a DFT calculation (PBE-GGA) of a relaxed structure of Bi2OsPdBr.

Its raw total energy is -17.6 eV for the cell shown. As for the total magnetization: 2.1 μB per formula unit. The value obtained for the raw formation energy is 801.1 kJ/mol of formula units. As for the crystal system: tetragonal.

Cell and atoms, written as CIF:
```
data_Bi2OsPdBr
_cell_length_a 5.6011
_cell_length_b 5.6011
_cell_length_c 4.5869
_cell_angle_alpha 90.00
_cell_angle_beta 90.00
_cell_angle_gamma 90.00
_symmetry_space_group_name_H-M 'P 4/m m m'
_symmetry_Int_Tables_number 123
_symmetry_space_group_name_Hall '-P 4 2'
loop_
_atom_site_label
_atom_site_fract_x
_atom_site_fract_y
_atom_site_fract_z
Bi1 0.0000 0.5000 0.0000
Os1 0.0000 0.0000 0.5000
Pd1 0.5000 0.5000 0.5000
Br1 0.5000 0.5000 0.0000
```